w) {"formula": "Sr8Li2Zn", "functional": "PBE", "state": "relaxed", "lattice_angstrom": [[6.949, -0.486, -1.534], [-3.083, 8.366, -4.993], [-0.450, -1.580, 10.086]], "species": ["Sr", "Sr", "Sr", "Sr", "Sr", "Sr", "Sr", "Sr", "Li", "Li", "Zn"], "frac_coords": [[0.650, 0.384, 0.149], [0.650, 0.149, 0.384], [0.147, 0.282, 0.282], [0.983, 0.192, 0.810], [0.983, 0.810, 0.192], [0.770, 0.712, 0.712], [0.291, 0.859, 0.627], [0.291, 0.627, 0.859], [0.477, 0.715, 0.300], [0.477, 0.300, 0.715], [0.281, 0.005, 0.005]], "dos_ef_per_ev_cell": 11.9, "magmom_total_mub_per_fu": 0.0}



x) {"formula": "Sr8Li2Zn", "functional": "PBE", "state": "relaxed", "lattice_angstrom": [[6.096, 0.000, 0.000], [0.000, 8.035, 0.105], [-3.048, -3.318, 9.810]], "species": ["Sr", "Sr", "Sr", "Sr", "Sr", "Sr", "Sr", "Sr", "Li", "Li", "Zn"], "frac_coords": [[0.409, 0.572, 0.818], [0.655, 0.964, 0.309], [0.798, 0.697, 0.595], [0.977, 0.212, 0.953], [0.202, 0.303, 0.405], [0.345, 0.036, 0.691], [0.591, 0.428, 0.182], [0.023, 0.788, 0.047], [0.818, 0.284, 0.636], [0.182, 0.716, 0.364], [0.500, 0.000, 0.000]], "dos_ef_per_ev_cell": 12.2, "magmom_total_mub_per_fu": 0.0}



Top of the stability list: x), leading by 15 meV per atom.



w) {"formula": "SrLiZn2", "functional": "PBE", "state": "relaxed", "lattice_angstrom": [[-3.380, -1.642, -2.461], [0.559, -0.648, -4.410], [0.823, -5.970, -1.383]], "species": ["Sr", "Zn", "Zn", "Li"], "frac_coords": [[0.250, 0.250, 0.250], [0.057, 0.057, 0.827], [0.443, 0.443, 0.673], [0.750, 0.750, 0.750]], "dos_ef_per_ev_cell": 2.7, "magmom_total_mub_per_fu": 0.0}



x) {"formula": "SrLiZn2", "functional": "PBE", "state": "relaxed", "lattice_angstrom": [[4.888, 0.000, 0.000], [0.000, 4.894, 0.000], [0.000, 0.000, 4.227]], "species": ["Li", "Sr", "Zn", "Zn"], "frac_coords": [[0.500, 0.000, 0.500], [0.000, 0.500, 0.500], [0.000, 0.000, 0.000], [0.500, 0.500, 0.000]], "dos_ef_per_ev_cell": 3.1, "magmom_total_mub_per_fu": 0.0}



Top of the stability list: w), leading by 185 meV per atom.



w) {"formula": "Sr3LiZn", "functional": "PBE", "state": "relaxed", "lattice_angstrom": [[-0.710, 4.019, -1.932], [-8.127, -4.598, -1.289], [-3.150, 3.496, 8.444]], "species": ["Sr", "Sr", "Sr", "Sr", "Sr", "Sr", "Li", "Li", "Zn", "Zn"], "frac_coords": [[0.920, 0.808, 0.419], [0.583, 0.134, 0.651], [0.373, 0.712, 0.770], [0.036, 0.038, 0.003], [0.735, 0.436, 0.017], [0.221, 0.410, 0.405], [0.565, 0.097, 0.280], [0.391, 0.749, 0.141], [0.759, 0.484, 0.657], [0.197, 0.362, 0.764]], "dos_ef_per_ev_cell": 8.5, "magmom_total_mub_per_fu": 0.0}



x) {"formula": "Sr3LiZn", "functional": "PBE", "state": "relaxed", "lattice_angstrom": [[-4.563, -0.482, -4.119], [3.022, -4.580, -2.812], [-2.840, -4.099, 3.625]], "species": ["Sr", "Sr", "Sr", "Zn", "Li"], "frac_coords": [[0.000, 0.500, 0.000], [0.000, 0.000, 0.500], [0.500, 0.000, 0.000], [0.000, 0.000, 0.000], [0.500, 0.500, 0.500]], "dos_ef_per_ev_cell": 4.1, "magmom_total_mub_per_fu": 0.0}



Top of the stability list: w), leading by 123 meV per atom.



w) {"formula": "Sr4Li2Zn", "functional": "PBE", "state": "relaxed", "lattice_angstrom": [[-3.449, -4.200, 1.923], [1.749, -5.489, -0.210], [3.204, -2.359, 9.234]], "species": ["Sr", "Sr", "Sr", "Sr", "Li", "Li", "Zn"], "frac_coords": [[0.877, 0.877, 0.368], [0.123, 0.123, 0.632], [0.628, 0.628, 0.117], [0.372, 0.372, 0.883], [0.747, 0.747, 0.758], [0.253, 0.253, 0.242], [0.000, 0.000, 0.000]], "dos_ef_per_ev_cell": 8.0, "magmom_total_mub_per_fu": 0.0}



x) {"formula": "Sr4Li2Zn", "functional": "PBE", "state": "relaxed", "lattice_angstrom": [[-0.659, 3.243, 5.034], [-5.459, -2.406, 0.835], [0.531, -6.105, 7.607]], "species": ["Sr", "Sr", "Sr", "Sr", "Zn", "Li", "Li"], "frac_coords": [[0.817, 0.817, 0.367], [0.183, 0.183, 0.633], [0.000, 0.500, 0.000], [0.500, 0.000, 0.000], [0.000, 0.000, 0.000], [0.614, 0.614, 0.771], [0.386, 0.386, 0.229]], "dos_ef_per_ev_cell": 7.3, "magmom_total_mub_per_fu": 0.0}



Top of the stability list: w), leading by 73 meV per atom.



w) {"formula": "SrLi4Zn", "functional": "PBE", "state": "relaxed", "lattice_angstrom": [[-1.871, -3.915, 0.146], [6.356, -2.894, 3.828], [-3.603, 2.002, 7.496]], "species": ["Sr", "Sr", "Li", "Li", "Li", "Li", "Li", "Li", "Li", "Li", "Zn", "Zn"], "frac_coords": [[0.000, 0.601, 0.750], [0.000, 0.399, 0.250], [0.000, 0.000, 0.500], [0.000, 0.000, 0.000], [0.500, 0.970, 0.750], [0.500, 0.030, 0.250], [0.500, 0.723, 0.067], [0.500, 0.277, 0.933], [0.500, 0.723, 0.433], [0.500, 0.277, 0.567], [0.000, 0.197, 0.750], [0.000, 0.803, 0.250]], "dos_ef_per_ev_cell": 6.3, "magmom_total_mub_per_fu": 0.0}



x) {"formula": "SrLi4Zn", "functional": "PBE", "state": "relaxed", "lattice_angstrom": [[-3.399, -4.430, 1.378], [-0.928, -4.207, -3.810], [2.275, -5.211, 0.859]], "species": ["Li", "Li", "Li", "Li", "Sr", "Zn"], "frac_coords": [[0.116, 0.628, 0.628], [0.628, 0.628, 0.628], [0.628, 0.116, 0.628], [0.628, 0.628, 0.116], [0.250, 0.250, 0.250], [0.000, 0.000, 0.000]], "dos_ef_per_ev_cell": 6.1, "magmom_total_mub_per_fu": 0.0}



Top of the stability list: w), leading by 66 meV per atom.



w) {"formula": "SrLi2Zn6", "functional": "PBE", "state": "relaxed", "lattice_angstrom": [[3.847, 0.000, 0.000], [1.924, 7.222, 1.087], [1.924, 2.491, 6.865]], "species": ["Sr", "Li", "Li", "Zn", "Zn", "Zn", "Zn", "Zn", "Zn"], "frac_coords": [[0.000, 0.000, 0.000], [0.869, 0.631, 0.631], [0.131, 0.369, 0.369], [0.686, 0.011, 0.617], [0.314, 0.989, 0.383], [0.314, 0.383, 0.989], [0.500, 0.663, 0.337], [0.500, 0.337, 0.663], [0.686, 0.617, 0.011]], "dos_ef_per_ev_cell": 4.7, "magmom_total_mub_per_fu": 0.0}



x) {"formula": "SrLi2Zn6", "functional": "PBE", "state": "relaxed", "lattice_angstrom": [[-1.249, 3.063, 0.252], [-2.291, -0.316, -7.523], [-4.849, -2.446, 5.696]], "species": ["Sr", "Li", "Li", "Zn", "Zn", "Zn", "Zn", "Zn", "Zn"], "frac_coords": [[0.000, 0.000, 0.000], [0.000, 0.333, 0.667], [0.000, 0.667, 0.333], [0.500, 0.344, 0.344], [0.500, 0.656, 0.656], [0.500, 0.000, 0.656], [0.500, 0.656, 0.000], [0.500, 0.344, 0.000], [0.500, 0.000, 0.344]], "dos_ef_per_ev_cell": 4.3, "magmom_total_mub_per_fu": 0.0}



Top of the stability list: w), leading by 21 meV per atom.



w) {"formula": "SrLi3Zn3", "functional": "PBE", "state": "relaxed", "lattice_angstrom": [[6.946, 0.000, 0.000], [0.000, 6.946, 0.000], [0.000, 0.000, 6.946]], "species": ["Sr", "Sr", "Zn", "Zn", "Zn", "Zn", "Zn", "Zn", "Li", "Li", "Li", "Li", "Li", "Li"], "frac_coords": [[0.500, 0.500, 0.500], [0.000, 0.000, 0.000], [0.250, 0.000, 0.500], [0.000, 0.500, 0.250], [0.500, 0.750, 0.000], [0.750, 0.000, 0.500], [0.000, 0.500, 0.750], [0.500, 0.250, 0.000], [0.000, 0.250, 0.500], [0.000, 0.750, 0.500], [0.500, 0.000, 0.750], [0.750, 0.500, 0.000], [0.500, 0.000, 0.250], [0.250, 0.500, 0.000]], "dos_ef_per_ev_cell": 9.5, "magmom_total_mub_per_fu": 0.0}



x) {"formula": "SrLi3Zn3", "functional": "PBE", "state": "relaxed", "lattice_angstrom": [[4.495, 0.000, 0.000], [0.000, 7.787, -4.447], [0.000, -0.045, 8.968]], "species": ["Sr", "Sr", "Li", "Li", "Li", "Li", "Li", "Li", "Zn", "Zn", "Zn", "Zn", "Zn", "Zn"], "frac_coords": [[0.750, 0.333, 0.667], [0.250, 0.667, 0.333], [0.750, 0.775, 0.036], [0.750, 0.261, 0.225], [0.750, 0.964, 0.739], [0.250, 0.225, 0.964], [0.250, 0.739, 0.775], [0.250, 0.036, 0.261], [0.750, 0.948, 0.401], [0.750, 0.453, 0.052], [0.750, 0.599, 0.547], [0.250, 0.052, 0.599], [0.250, 0.547, 0.948], [0.250, 0.401, 0.453]], "dos_ef_per_ev_cell": 7.8, "magmom_total_mub_per_fu": 0.0}



Top of the stability list: x), leading by 215 meV per atom.



w) {"formula": "Sr3Li2Zn", "functional": "PBE", "state": "relaxed", "lattice_angstrom": [[4.053, 0.000, 0.000], [0.000, 4.053, 0.000], [0.000, 0.000, 12.671]], "species": ["Sr", "Sr", "Sr", "Li", "Li", "Zn"], "frac_coords": [[0.000, 0.000, 0.000], [0.000, 0.000, 0.649], [0.000, 0.000, 0.351], [0.500, 0.500, 0.825], [0.500, 0.500, 0.175], [0.500, 0.500, 0.500]], "dos_ef_per_ev_cell": 5.3, "magmom_total_mub_per_fu": 0.0}



x) {"formula": "Sr3Li2Zn", "functional": "PBE", "state": "relaxed", "lattice_angstrom": [[4.772, 0.000, 0.000], [0.000, 13.509, 0.000], [0.000, 0.000, 13.589]], "species": ["Sr", "Sr", "Sr", "Sr", "Sr", "Sr", "Sr", "Sr", "Sr", "Sr", "Sr", "Sr", "Li", "Li", "Li", "Li", "Li", "Li", "Li", "Li", "Zn", "Zn", "Zn", "Zn"], "frac_coords": [[0.250, 0.371, 0.052], [0.750, 0.629, 0.948], [0.750, 0.871, 0.448], [0.250, 0.129, 0.552], [0.250, 0.706, 0.221], [0.750, 0.294, 0.779], [0.750, 0.206, 0.279], [0.250, 0.794, 0.721], [0.250, 0.444, 0.385], [0.750, 0.556, 0.615], [0.750, 0.944, 0.115], [0.250, 0.056, 0.885], [0.250, 0.684, 0.472], [0.750, 0.316, 0.528], [0.750, 0.184, 0.028], [0.250, 0.816, 0.972], [0.250, 0.007, 0.297], [0.750, 0.993, 0.703], [0.750, 0.507, 0.203], [0.250, 0.493, 0.797], [0.250, 0.128, 0.123], [0.750, 0.872, 0.877], [0.750, 0.628, 0.377], [0.250, 0.372, 0.623]], "dos_ef_per_ev_cell": 19.4, "magmom_total_mub_per_fu": 0.0}



Top of the stability list: x), leading by 5 meV per atom.



w) {"formula": "SrLiZn4", "functional": "PBE", "state": "relaxed", "lattice_angstrom": [[8.138, -0.313, -3.664], [-4.657, 7.452, -1.594], [-0.196, 0.313, 8.923]], "species": ["Sr", "Sr", "Sr", "Sr", "Li", "Li", "Li", "Li", "Zn", "Zn", "Zn", "Zn", "Zn", "Zn", "Zn", "Zn", "Zn", "Zn", "Zn", "Zn", "Zn", "Zn", "Zn", "Zn"], "frac_coords": [[0.500, 0.250, 0.750], [0.500, 0.750, 0.250], [0.000, 0.836, 0.836], [0.000, 0.164, 0.164], [0.188, 0.500, 0.688], [0.188, 0.688, 0.500], [0.812, 0.312, 0.500], [0.812, 0.500, 0.312], [0.616, 0.140, 0.140], [0.384, 0.524, 0.524], [0.384, 0.860, 0.860], [0.000, 0.524, 0.140], [0.000, 0.140, 0.524], [0.000, 0.860, 0.476], [0.000, 0.476, 0.860], [0.616, 0.476, 0.476], [0.438, 0.125, 0.312], [0.187, 0.312, 0.875], [0.813, 0.688, 0.125], [0.813, 0.125, 0.688], [0.187, 0.875, 0.312], [0.562, 0.875, 0.688], [0.562, 0.688, 0.875], [0.438, 0.312, 0.125]], "dos_ef_per_ev_cell": 9.9, "magmom_total_mub_per_fu": 0.0}



x) {"formula": "SrLiZn4", "functional": "PBE", "state": "relaxed", "lattice_angstrom": [[5.506, 0.000, 0.000], [2.753, 4.768, 0.000], [2.753, 1.589, 4.496]], "species": ["Li", "Sr", "Zn", "Zn", "Zn", "Zn"], "frac_coords": [[0.250, 0.250, 0.250], [0.000, 0.000, 0.000], [0.131, 0.623, 0.623], [0.623, 0.623, 0.623], [0.623, 0.131, 0.623], [0.623, 0.623, 0.131]], "dos_ef_per_ev_cell": 2.8, "magmom_total_mub_per_fu": 0.0}



Top of the stability list: x), leading by 111 meV per atom.



w) {"formula": "SrLiZr", "functional": "PBE", "state": "relaxed", "lattice_angstrom": [[-2.646, -1.250, -6.706], [-4.003, -3.832, -4.778], [-3.092, 1.631, 0.005]], "species": ["Li", "Sr", "Zr"], "frac_coords": [[0.018, 0.018, 0.982], [0.338, 0.338, 0.662], [0.644, 0.644, 0.356]], "dos_ef_per_ev_cell": 3.5, "magmom_total_mub_per_fu": 0.0}



x) {"formula": "SrLiZr", "functional": "PBE", "state": "relaxed", "lattice_angstrom": [[-3.046, 1.450, -0.589], [0.380, -3.385, -0.346], [-2.073, -1.061, 8.103]], "species": ["Li", "Sr", "Zr"], "frac_coords": [[0.000, 0.000, 0.978], [0.667, 0.333, 0.337], [0.333, 0.667, 0.685]], "dos_ef_per_ev_cell": 4.1, "magmom_total_mub_per_fu": 0.0}



Top of the stability list: w), leading by 47 meV per atom.



w) {"formula": "SrLiZr", "functional": "PBE", "state": "relaxed", "lattice_angstrom": [[5.169, 0.000, 0.000], [2.584, 4.476, 0.000], [2.584, 1.492, 4.220]], "species": ["Li", "Sr", "Zr"], "frac_coords": [[0.500, 0.500, 0.500], [0.250, 0.250, 0.250], [0.000, 0.000, 0.000]], "dos_ef_per_ev_cell": 5.0, "magmom_total_mub_per_fu": 0.0}



x) {"formula": "SrLiZr", "functional": "PBE", "state": "relaxed", "lattice_angstrom": [[5.186, 0.000, 0.000], [2.593, 4.491, 0.000], [2.593, 1.497, 4.234]], "species": ["Li", "Sr", "Zr"], "frac_coords": [[0.250, 0.250, 0.250], [0.000, 0.000, 0.000], [0.500, 0.500, 0.500]], "dos_ef_per_ev_cell": 4.3, "magmom_total_mub_per_fu": 2.7}



y) {"formula": "SrLiZr", "functional": "PBE", "state": "relaxed", "lattice_angstrom": [[-3.328, -4.028, -1.847], [3.728, -1.081, 3.955], [-2.186, 0.765, 2.270]], "species": ["Li", "Sr", "Zr"], "frac_coords": [[0.000, 0.000, 0.018], [0.667, 0.333, 0.273], [0.333, 0.667, 0.709]], "dos_ef_per_ev_cell": 4.1, "magmom_total_mub_per_fu": 0.4}



Top of the stability list: y), leading by 328 meV per atom.